1.
RbCaAg2 after structural relaxation. Source: the Alexandria database, functional PBE.

a = 3.9426 Å, b = 3.9426 Å, c = 8.2635 Å
α = 90.00°, β = 90.00°, γ = 90.00°
With the nearest neighbours (Å) after each atom.
Space group P4/mmm (No. 123)
Inequivalent atoms, fractional coordinates:
Rb (0.0000, 0.0000, 0.0000) [1 per cell]  8 Ag 3.83, 4 Rb 3.94, 2 Ca 4.13
Ca (0.0000, 0.0000, 0.5000) [1 per cell]  8 Ag 3.17
Ag (0.5000, 0.5000, 0.3184) [2 per cell]  1 Ag 3.00, 4 Ca 3.17

Output
- V: 32.1 Å³ per atom
- Energy relative to the elements: -0.1097 eV/atom

=====

2.
RbCa3Ag after structural relaxation. Source: the Alexandria database, functional PBE.

a = 6.1479 Å, b = 6.1479 Å, c = 6.1479 Å
α = 90.00°, β = 90.00°, γ = 90.00°
With the nearest neighbours (Å) after each atom.
Space group Pm-3m (No. 221)
Inequivalent atoms, fractional coordinates:
Rb (0.0000, 0.0000, 0.0000) [1 per cell]  6 Ca 3.07
Ca (0.0000, 0.0000, 0.5000) [3 per cell]  2 Rb 3.07
Ag (0.5000, 0.5000, 0.5000) [1 per cell]  12 Ca 4.35

Output
- V: 46.5 Å³ per atom
- Energy relative to the elements: 1.1783 eV/atom

=====

no.,distance to the lowest polymorph of the same formula (meV/atom)
1,0.0
2,1186.7